(1)
6
Lattice="3.840 0.000 0.000 0.000 3.840 0.000 0.000 0.000 7.129" Properties=species:S:1:pos:R:3 comment="PaCoW | the Alexandria database | GGA-PBE | optimized geometry" energy_ev_per_fu=-27.7 e_form_ev_per_atom=0.61 spacegroup=P4/nmm crystal_system=tetragonal pbc="T T T"
Pa 0.000 0.000 0.000
Pa 1.920 1.920 0.000
Co 0.000 1.920 2.129
Co 1.920 0.000 5.000
W 0.000 1.920 4.373
W 1.920 0.000 2.757

=====

(2)
4
Lattice="-1.206 1.416 -2.200 1.288 0.024 -2.577 -4.771 -7.442 -4.063" Properties=species:S:1:pos:R:3 comment="PaCoW2 | the Alexandria database | GGA-PBE | optimized geometry" energy_ev_per_fu=-39.5 e_form_ev_per_atom=0.75 spacegroup=R-3m crystal_system=trigonal pbc="T T T"
Pa 0.000 0.000 0.000
Co -2.345 -3.001 -4.420
W -3.374 -5.136 -3.344
W -1.315 -0.866 -5.496

=====

(3)
12
Lattice="-4.152 -2.213 1.825 -0.161 -1.475 4.824 -4.430 6.165 4.377" Properties=species:S:1:pos:R:3 comment="Y3PaCo8 | the Alexandria database | GGA-PBE | optimized geometry" energy_ev_per_fu=-88.0 e_form_ev_per_atom=-0.19 spacegroup=R3m crystal_system=trigonal pbc="T T T"
Y -5.501 4.031 6.328
Y -4.418 6.136 4.368
Y -4.383 1.268 5.521
Pa -5.424 -0.942 7.451
Co -4.796 -1.532 4.651
Co -5.015 1.860 8.321
Co -2.734 -0.433 3.745
Co -7.073 0.763 9.225
Co -2.747 2.006 3.161
Co -7.115 3.236 8.671
Co -2.814 -1.165 6.141
Co -6.993 1.494 6.835

=====

(4)
12
Lattice="-0.399 2.947 -2.532 0.552 -6.638 -4.800 -8.387 1.960 3.603" Properties=species:S:1:pos:R:3 comment="YPa3Co2 | the Alexandria database | GGA-PBE | optimized geometry" energy_ev_per_fu=-50.0 e_form_ev_per_atom=-0.13 spacegroup=C2/m crystal_system=monoclinic pbc="T T T"
Y -1.052 -1.000 -0.998
Y -7.181 -0.730 -2.731
Pa -7.615 1.388 -0.197
Pa -5.258 -2.317 -4.881
Pa -3.926 -2.526 -2.322
Pa -4.308 0.796 -1.407
Pa -2.975 0.587 1.152
Pa -0.618 -3.118 -3.532
Co -7.392 2.993 1.636
Co -0.842 -4.723 -5.365
Co -5.827 -0.527 0.305
Co -2.407 -1.203 -4.034

=====

(5)
4
Lattice="3.313 0.000 0.000 1.656 2.869 0.000 1.656 0.956 10.377" Properties=species:S:1:pos:R:3 comment="Y2PaCo | the Alexandria database | GGA-PBE | optimized geometry" energy_ev_per_fu=-28.1 e_form_ev_per_atom=0.35 spacegroup=R-3m crystal_system=trigonal pbc="T T T"
Y 1.656 0.956 7.084
Y 4.969 2.869 3.293
Pa 0.000 0.000 0.000
Co 3.313 1.913 5.188

=====

(6)
16
Lattice="-0.308 -1.903 -4.022 -5.822 -3.744 2.218 -5.772 7.215 -2.970" Properties=species:S:1:pos:R:3 comment="YPaCo2 | the Alexandria database | GGA-PBE | optimized geometry" energy_ev_per_fu=-31.3 e_form_ev_per_atom=-0.28 spacegroup=Pnma relative_energy_mev_per_atom=97 crystal_system=orthorhombic pbc="T T T"
Y -6.227 -3.938 -1.369
Y -5.675 5.506 -3.406
Y -4.782 -0.235 -3.232
Y -7.121 1.803 -1.543
Pa -4.017 -1.614 -0.165
Pa -2.518 2.023 -2.000
Pa -7.885 3.182 -4.610
Pa -9.385 -0.455 -2.775
Co -9.764 1.570 -3.703
Co -2.138 -0.001 -1.072
Co -5.869 2.211 -4.305
Co -6.034 -0.642 -0.470
Co -7.367 -1.408 -2.478
Co -9.428 3.582 -2.208
Co -2.474 -2.014 -2.567
Co -4.535 2.977 -2.297

=====

(7)
12
Lattice="-0.937 3.852 0.543 -3.555 -0.402 -3.285 -5.401 -2.176 6.112" Properties=species:S:1:pos:R:3 comment="YPaCo10 | the Alexandria database | GGA-PBE | optimized geometry" energy_ev_per_fu=-88.8 e_form_ev_per_atom=-0.15 spacegroup=Pmmm crystal_system=orthorhombic pbc="T T T"
Y 0.000 0.000 0.000
Pa -4.478 -1.289 1.414
Co -1.847 -0.744 2.089
Co -6.159 -1.966 3.315
Co -2.798 -0.612 -0.488
Co -3.555 -1.432 4.022
Co -3.169 0.838 3.328
Co -2.246 1.725 -1.371
Co -2.673 1.290 0.977
Co -7.221 -0.016 2.393
Co -4.487 1.085 -0.700
Co -5.406 0.189 4.070

=====

(8)
8
Lattice="-3.985 1.382 0.820 -1.342 -0.961 -4.903 -1.217 -5.860 3.961" Properties=species:S:1:pos:R:3 comment="YPaCo2 | the Alexandria database | GGA-PBE | optimized geometry" energy_ev_per_fu=-31.7 e_form_ev_per_atom=-0.38 spacegroup=P2_1/m relative_energy_mev_per_atom=0 crystal_system=monoclinic pbc="T T T"
Y -1.422 -0.283 -0.808
Y -5.121 -5.157 0.686
Pa -4.431 -2.056 -1.185
Pa -2.113 -3.384 1.063
Co -2.447 -2.025 -2.852
Co -4.097 -3.415 2.731
Co -3.675 -1.219 1.079
Co -2.869 -4.221 -1.201

=====

Number 1: spin magnetization 0.0 μB/cell. Number 2: spin magnetization 0.0 μB/cell. Number 3: spin magnetization 5.6 μB/cell. Number 4: spin magnetization 0.0 μB/cell. Number 5: spin magnetization 0.1 μB/cell. Number 6: spin magnetization 0.0 μB/cell. Number 7: spin magnetization 12.1 μB/cell. Number 8: spin magnetization 0.0 μB/cell.